Entry 1:
DFT (PBE) results for a geometry-optimized K3VSb structure.

Cell lengths 6.7095, 6.7095, 6.7095 Å; angles 90.00, 90.00, 90.00 degrees
Positions (direct):
K: 0.0000 0.0000 0.5000
K: 0.0000 0.5000 0.0000
K: 0.5000 0.0000 0.0000
V: 0.5000 0.5000 0.5000
Sb: 0.0000 0.0000 0.0000

Properties
- symmetry = Pm-3m (221)
- volume (Å³/f.u.) = 302
- uncorrected formation energy (eV per formula unit) = 3.62
- total energy (eV per atom) = -2.583
- energy relative to the lowest polymorph listed for this composition (kJ/mol of atoms) = 0.00

Entry 2:
DFT (PBE) results for a geometry-optimized KVSb2 structure.

Cell lengths 6.2755, 6.2755, 16.2148 Å; angles 90.00, 90.00, 90.00 degrees
Positions (direct):
K: 0.0000 0.0000 0.0000
K: 0.0000 0.5000 0.2500
K: 0.5000 0.0000 0.7500
K: 0.5000 0.5000 0.5000
V: 0.0000 0.0000 0.5000
V: 0.0000 0.5000 0.7500
V: 0.5000 0.0000 0.2500
V: 0.5000 0.5000 0.0000
Sb: 0.0397 0.2500 0.6250
Sb: 0.2500 0.5397 0.8750
Sb: 0.2500 0.9603 0.3750
Sb: 0.4603 0.2500 0.1250
Sb: 0.5397 0.7500 0.1250
Sb: 0.7500 0.0397 0.3750
Sb: 0.7500 0.4603 0.8750
Sb: 0.9603 0.7500 0.6250

Properties
- symmetry = I-42d (122)
- volume (Å³/f.u.) = 160
- uncorrected formation energy (eV per formula unit) = 0.16
- total energy (eV per atom) = -4.576
- energy relative to the lowest polymorph listed for this composition (kJ/mol of atoms) = 15.25

Entry 3:
DFT (PBE) results for a geometry-optimized KV2Sb2 structure.

Cell lengths 4.0352, 4.0352, 15.4884 Å; angles 90.00, 90.00, 90.00 degrees
Positions (direct):
K: 0.0000 0.0000 0.0000
K: 0.5000 0.5000 0.5000
V: 0.0000 0.5000 0.2500
V: 0.0000 0.5000 0.7500
V: 0.5000 0.0000 0.2500
V: 0.5000 0.0000 0.7500
Sb: 0.0000 0.0000 0.3649
Sb: 0.0000 0.0000 0.6351
Sb: 0.5000 0.5000 0.1351
Sb: 0.5000 0.5000 0.8649

Properties
- symmetry = I4/mmm (139)
- volume (Å³/f.u.) = 126
- uncorrected formation energy (eV per formula unit) = -0.21
- total energy (eV per atom) = -5.558

Entry 4:
DFT (PBE) results for a geometry-optimized KV2Sb structure.

Cell lengths 4.6282, 4.6282, 19.6713 Å; angles 90.00, 90.00, 90.00 degrees
Positions (direct):
K: 0.0000 0.0000 0.0000
K: 0.0000 0.5000 0.2500
K: 0.5000 0.0000 0.7500
K: 0.5000 0.5000 0.5000
V: 0.0090 0.7500 0.6250
V: 0.2500 0.0090 0.3750
V: 0.2500 0.4910 0.8750
V: 0.4910 0.7500 0.1250
V: 0.5090 0.2500 0.1250
V: 0.7500 0.5090 0.8750
V: 0.7500 0.9910 0.3750
V: 0.9910 0.2500 0.6250
Sb: 0.0000 0.0000 0.5000
Sb: 0.0000 0.5000 0.7500
Sb: 0.5000 0.0000 0.2500
Sb: 0.5000 0.5000 0.0000

Properties
- symmetry = I-42d (122)
- volume (Å³/f.u.) = 105
- uncorrected formation energy (eV per formula unit) = 3.33
- total energy (eV per atom) = -5.032

Please write out number 3 again, unchanged.
DFT (PBE) results for a geometry-optimized KV2Sb2 structure.

Cell lengths 4.0352, 4.0352, 15.4884 Å; angles 90.00, 90.00, 90.00 degrees
Positions (direct):
K: 0.0000 0.0000 0.0000
K: 0.5000 0.5000 0.5000
V: 0.0000 0.5000 0.2500
V: 0.0000 0.5000 0.7500
V: 0.5000 0.0000 0.2500
V: 0.5000 0.0000 0.7500
Sb: 0.0000 0.0000 0.3649
Sb: 0.0000 0.0000 0.6351
Sb: 0.5000 0.5000 0.1351
Sb: 0.5000 0.5000 0.8649

Properties
- symmetry = I4/mmm (139)
- volume (Å³/f.u.) = 126
- uncorrected formation energy (eV per formula unit) = -0.21
- total energy (eV per atom) = -5.558

> Look up the volume of the third one.

126 Å³/f.u.

> The highest uncorrected formation energy belongs to which entry?

K3VSb

> total energy of number 1 (K3VSb)?

-2.583 eV per atom